*one*
VASP calculation (PBE-GGA) on a relaxed structure of BaLiP3.

extended XYZ file:
```
5
Lattice="-4.130 -1.629 1.640 1.816 -4.364 0.239 1.430 0.838 4.433" Properties=species:S:1:pos:R:3 pbc="T T T"
P -2.065 -0.814 0.820
P 0.908 -2.182 0.120
Ba -0.442 -2.577 3.156
Li 0.000 0.000 0.000
P 0.715 0.419 2.217
```

- Density of states at the Fermi level: 3.06 states/eV per cell

*two*
VASP calculation (PBE-GGA) on a relaxed structure of BaLiP3.

extended XYZ file:
```
5
Lattice="5.741 0.000 0.000 0.000 5.741 0.000 0.000 0.000 5.741" Properties=species:S:1:pos:R:3 pbc="T T T"
P 2.871 0.000 0.000
Li 2.871 2.871 2.871
P 0.000 2.871 0.000
P 0.000 0.000 2.871
Ba 0.000 0.000 0.000
```

- Density of states at the Fermi level: 7.27 states/eV per cell

In order of decreasing stability: *one*, *two*.

*one*
VASP calculation (PBE-GGA) on a relaxed structure of BaLi3P.

extended XYZ file:
```
5
Lattice="-2.255 3.049 3.042 2.940 -1.419 3.602 3.147 3.511 -1.186" Properties=species:S:1:pos:R:3 pbc="T T T"
Li 1.573 1.755 -0.593
P 0.000 0.000 0.000
Li 1.470 -0.709 1.801
Ba 1.916 2.570 2.729
Li -1.128 1.524 1.521
```

- Density of states at the Fermi level: 2.33 states/eV per cell

*two*
VASP calculation (PBE-GGA) on a relaxed structure of BaLi3P.

extended XYZ file:
```
5
Lattice="5.312 0.000 0.000 0.000 5.312 0.000 0.000 0.000 5.312" Properties=species:S:1:pos:R:3 pbc="T T T"
Ba 0.000 0.000 0.000
Li 2.656 0.000 0.000
Li 0.000 0.000 2.656
P 2.656 2.656 2.656
Li 0.000 2.656 0.000
```

- Density of states at the Fermi level: 5.58 states/eV per cell

In order of decreasing stability: *one*, *two*.

*one*
VASP calculation (PBE-GGA) on a relaxed structure of Ba2Li2P.

extended XYZ file:
```
10
Lattice="7.255 0.000 0.000 0.000 7.255 0.000 0.000 0.000 5.163" Properties=species:S:1:pos:R:3 pbc="T T T"
P 3.628 3.628 0.000
Li 1.016 2.612 0.000
Ba 5.851 2.223 2.581
Li 4.644 1.016 0.000
Li 6.239 4.644 0.000
Ba 5.032 5.851 2.581
Li 2.612 6.239 0.000
P 0.000 0.000 0.000
Ba 1.404 5.032 2.581
Ba 2.223 1.404 2.581
```

- Density of states at the Fermi level: 13.22 states/eV per cell

*two*
VASP calculation (PBE-GGA) on a relaxed structure of Ba2Li2P.

extended XYZ file:
```
5
Lattice="-2.405 0.304 3.210 -2.877 -2.010 -1.966 1.141 -9.873 4.311" Properties=species:S:1:pos:R:3 pbc="T T T"
Li -2.189 -6.368 1.484
Ba -2.115 -9.261 4.334
Li -1.953 -5.211 4.071
P 0.000 0.000 0.000
Ba -2.027 -2.318 1.221
```

- Density of states at the Fermi level: 4.13 states/eV per cell

In order of decreasing stability: *two*, *one*.

*one*
VASP calculation (PBE-GGA) on a relaxed structure of Ba2SrLiP.

extended XYZ file:
```
5
Lattice="6.347 0.000 0.000 0.000 6.347 0.000 0.000 0.000 5.961" Properties=species:S:1:pos:R:3 pbc="T T T"
Ba 0.000 3.173 0.000
Li 3.173 3.173 2.980
Ba 3.173 0.000 0.000
Sr 0.000 0.000 2.980
P 0.000 0.000 0.000
```

- Density of states at the Fermi level: 4.79 states/eV per cell

*two*
VASP calculation (PBE-GGA) on a relaxed structure of Ba2SrLiP.

extended XYZ file:
```
5
Lattice="6.987 0.000 0.000 0.000 5.492 0.000 0.000 0.000 6.987" Properties=species:S:1:pos:R:3 pbc="T T T"
Li 3.494 2.746 3.494
Ba 0.000 0.000 3.494
P 0.000 2.746 0.000
Sr 0.000 0.000 0.000
Ba 3.494 0.000 0.000
```

- Density of states at the Fermi level: 4.36 states/eV per cell

In order of decreasing stability: *one*, *two*.

*one*
VASP calculation (PBE-GGA) on a relaxed structure of BaLiPb3.

extended XYZ file:
```
5
Lattice="-1.978 -3.885 -2.731 3.206 1.170 -3.994 4.667 -4.965 -1.171" Properties=species:S:1:pos:R:3 pbc="T T T"
Li 5.569 -2.289 -4.199
Pb 0.837 -2.923 -4.719
Pb 3.720 -3.474 -6.022
Ba 4.166 -5.886 -2.923
Pb 3.152 -2.155 -2.645
```

- Density of states at the Fermi level: 2.50 states/eV per cell

*two*
VASP calculation (PBE-GGA) on a relaxed structure of BaLiPb3.

extended XYZ file:
```
5
Lattice="-2.661 0.162 4.674 1.088 -5.209 0.799 4.549 1.340 2.543" Properties=species:S:1:pos:R:3 pbc="T T T"
Pb 0.544 -2.605 0.400
Pb 2.275 0.670 1.271
Li 0.000 0.000 0.000
Pb -1.330 0.081 2.337
Ba 1.488 -1.854 4.008
```

- Density of states at the Fermi level: 3.13 states/eV per cell

*three*
VASP calculation (PBE-GGA) on a relaxed structure of BaLiPb3.

extended XYZ file:
```
5
Lattice="6.359 0.000 0.000 0.000 6.359 0.000 0.000 0.000 6.359" Properties=species:S:1:pos:R:3 pbc="T T T"
Ba 0.000 0.000 0.000
Pb 0.000 0.000 3.179
Pb 3.179 0.000 0.000
Pb 0.000 3.179 0.000
Li 3.179 3.179 3.179
```

- Density of states at the Fermi level: 6.06 states/eV per cell

In order of decreasing stability: *one*, *two*, *three*.

*one*
VASP calculation (PBE-GGA) on a relaxed structure of BaLi3Pb2.

extended XYZ file:
```
12
Lattice="4.937 0.000 0.000 -2.469 9.040 0.307 0.000 -3.749 7.221" Properties=species:S:1:pos:R:3 pbc="T T T"
Pb 2.469 -0.312 1.459
Li 2.469 6.389 4.979
Ba 0.000 2.454 0.722
Pb 0.000 0.741 4.766
Li 0.000 6.047 2.833
Ba 2.469 2.836 6.805
Li 0.000 -1.098 2.548
Pb 2.469 4.550 2.761
Pb 0.000 5.602 6.068
Li 0.000 3.529 4.108
Li 2.469 1.762 3.420
Li 2.469 -0.757 4.694
```

- Density of states at the Fermi level: 6.09 states/eV per cell

*two*
VASP calculation (PBE-GGA) on a relaxed structure of BaLi3Pb2.

extended XYZ file:
```
12
Lattice="4.724 0.000 1.257 1.817 7.166 2.675 -0.008 0.574 9.533" Properties=species:S:1:pos:R:3 pbc="T T T"
Li 2.914 4.345 8.054
Li 0.769 2.554 6.611
Ba 1.957 5.976 11.650
Li 5.763 5.186 6.855
Pb 2.918 1.242 8.039
Li 3.618 3.395 5.411
Li 2.824 7.137 8.393
Ba 4.575 1.764 1.816
Li 3.708 0.603 5.073
Pb 5.006 5.433 9.697
Pb 1.526 2.307 3.769
Pb 3.614 6.498 5.426
```

- Density of states at the Fermi level: 5.42 states/eV per cell

In order of decreasing stability: *two*, *one*.

*one*
VASP calculation (PBE-GGA) on a relaxed structure of BaLiPdPb.

extended XYZ file:
```
4
Lattice="5.250 0.000 0.000 2.625 4.547 0.000 2.625 1.516 4.287" Properties=species:S:1:pos:R:3 pbc="T T T"
Pd 0.000 0.000 0.000
Ba 7.876 4.547 3.215
Pb 2.625 1.516 1.072
Li 5.250 3.031 2.143
```

- Density of states at the Fermi level: 6.93 states/eV per cell

*two*
VASP calculation (PBE-GGA) on a relaxed structure of BaLiPdPb.

extended XYZ file:
```
4
Lattice="4.800 0.000 0.000 -2.400 4.158 0.001 0.000 -2.764 5.655" Properties=species:S:1:pos:R:3 pbc="T T T"
Pb 0.000 -1.772 5.563
Pd 0.000 0.999 5.193
Ba 2.400 -0.390 2.829
Li 2.400 2.379 0.369
```

- Density of states at the Fermi level: 3.41 states/eV per cell

In order of decreasing stability: *two*, *one*.

*one*
VASP calculation (PBE-GGA) on a relaxed structure of BaLiRhPb2.

extended XYZ file:
```
5
Lattice="4.831 0.000 0.000 0.000 4.831 0.000 -2.416 -2.416 5.832" Properties=species:S:1:pos:R:3 pbc="T T T"
Rh 2.416 0.000 2.916
Pb 2.416 2.416 1.612
Ba 0.000 0.000 0.000
Pb 0.000 0.000 4.219
Li 0.000 2.416 2.916
```

- Density of states at the Fermi level: 5.58 states/eV per cell

*two*
VASP calculation (PBE-GGA) on a relaxed structure of BaLiRhPb2.

extended XYZ file:
```
5
Lattice="-5.092 0.168 1.518 1.230 -2.681 4.422 0.869 4.402 2.427" Properties=species:S:1:pos:R:3 pbc="T T T"
Ba -1.496 0.944 4.184
Pb -2.546 0.084 0.759
Li 0.435 2.201 1.214
Rh 0.000 0.000 0.000
Pb 0.615 -1.341 2.211
```

- Density of states at the Fermi level: 3.72 states/eV per cell

In order of decreasing stability: *one*, *two*.

*one*
VASP calculation (PBE-GGA) on a relaxed structure of BaLiTl2Pb.

extended XYZ file:
```
10
Lattice="6.990 0.000 0.000 0.000 6.356 0.000 0.000 0.000 7.009" Properties=species:S:1:pos:R:3 pbc="T T T"
Ba 1.585 1.589 3.505
Pb 2.478 1.589 0.000
Tl 5.136 1.589 1.691
Tl 1.853 4.767 1.691
Tl 1.853 4.767 5.318
Li 0.000 3.178 0.000
Pb 4.511 4.767 0.000
Ba 5.405 4.767 3.505
Li 0.000 0.000 0.000
Tl 5.136 1.589 5.318
```

- Density of states at the Fermi level: 4.14 states/eV per cell

*two*
VASP calculation (PBE-GGA) on a relaxed structure of BaLiTl2Pb.

extended XYZ file:
```
5
Lattice="5.371 0.000 0.000 0.000 5.371 0.000 0.000 0.000 5.379" Properties=species:S:1:pos:R:3 pbc="T T T"
Tl 2.686 0.000 0.000
Tl 0.000 2.686 0.000
Ba 2.686 2.686 2.690
Li 0.000 0.000 0.000
Pb 0.000 0.000 2.690
```

- Density of states at the Fermi level: 1.78 states/eV per cell

In order of decreasing stability: *one*, *two*.

*one*
VASP calculation (PBE-GGA) on a relaxed structure of BaLi3Pd.

extended XYZ file:
```
5
Lattice="5.061 0.000 0.000 0.000 5.061 0.000 0.000 0.000 5.061" Properties=species:S:1:pos:R:3 pbc="T T T"
Li 0.000 0.000 2.530
Pd 0.000 0.000 0.000
Ba 2.530 2.530 2.530
Li 0.000 2.530 0.000
Li 2.530 0.000 0.000
```

- Density of states at the Fermi level: 2.93 states/eV per cell

*two*
VASP calculation (PBE-GGA) on a relaxed structure of BaLi3Pd.

extended XYZ file:
```
10
Lattice="5.719 0.000 -2.168 0.000 6.102 0.000 -0.264 0.000 7.291" Properties=species:S:1:pos:R:3 pbc="T T T"
Pd 4.950 2.731 3.975
Ba 3.872 5.782 5.112
Li 4.875 2.732 -0.741
Ba 1.632 2.731 4.024
Li 1.556 1.261 0.020
Li 0.893 5.782 2.586
Li 1.556 4.201 0.020
Li 4.211 4.312 1.825
Pd 0.554 5.782 5.161
Li 4.211 1.150 1.825
```

- Density of states at the Fermi level: 3.53 states/eV per cell

*three*
VASP calculation (PBE-GGA) on a relaxed structure of BaLi3Pd.

extended XYZ file:
```
10
Lattice="6.043 0.000 0.000 0.000 7.070 0.000 0.001 -3.535 6.124" Properties=species:S:1:pos:R:3 pbc="T T T"
Li 4.533 1.777 5.109
Li 1.510 5.311 1.015
Ba 1.511 -0.001 4.082
Li 1.511 3.535 4.093
Ba 4.532 3.535 2.042
Pd 3.021 0.000 0.000
Li 1.510 1.758 1.015
Li 4.533 0.000 2.030
Pd 0.000 0.000 0.000
Li 4.533 -1.777 5.109
```

- Density of states at the Fermi level: 6.43 states/eV per cell

In order of decreasing stability: *two*, *one*, *three*.

*one*
VASP calculation (PBE-GGA) on a relaxed structure of Ba2LiPd2.

extended XYZ file:
```
10
Lattice="-2.038 -8.146 -3.390 8.521 -2.719 1.412 -0.956 -1.200 3.460" Properties=species:S:1:pos:R:3 pbc="T T T"
Ba 6.562 -5.217 0.004
Pd 0.150 -3.827 0.784
Pd 5.377 -8.239 0.698
Li 0.000 0.000 0.000
Ba 3.754 -8.718 -1.987
Pd 4.794 -3.655 2.127
Ba -0.079 -5.648 -1.982
Ba 2.729 -2.146 0.010
Li 3.242 -5.432 -0.989
Pd 0.733 -8.411 -0.645
```

- Density of states at the Fermi level: 5.21 states/eV per cell

*two*
VASP calculation (PBE-GGA) on a relaxed structure of Ba2LiPd2.

extended XYZ file:
```
10
Lattice="6.281 0.000 0.000 -3.141 5.287 0.162 0.000 -2.173 8.309" Properties=species:S:1:pos:R:3 pbc="T T T"
Pd -2.324 1.774 8.388
Pd 5.464 1.340 0.083
Pd 0.817 0.254 4.238
Ba -0.836 2.925 3.010
Li 5.669 -0.543 2.077
Ba 0.836 1.839 7.165
Pd 2.324 2.860 4.233
Ba 3.977 0.189 5.461
Li 0.612 -1.630 6.232
Ba 2.304 1.275 1.306
```

- Density of states at the Fermi level: 4.44 states/eV per cell

In order of decreasing stability: *two*, *one*.